Below is V4ReOs3 after structural relaxation, with properties calculated at the PBE-GGA level.

The structure belongs to space group Pmmm (No. 47); the cell edges are 3.0149, 4.2880 and 8.5712 Å and the angles 90.00°, 90.00° and 90.00°. Symmetry generates all atoms from V at (0.0000, 0.0000, 0.0000), V at (0.0000, 0.0000, 0.5000), V at (0.0000, 0.5000, 0.2461), Re at (0.5000, 0.5000, 0.0000), Os at (0.5000, 0.0000, 0.2529) and Os at (0.5000, 0.5000, 0.5000).

The value obtained for the volume is 13.85 Å³ per atom. The value obtained for the formation energy from the elements is -275 meV/atom.



Below is VRe2Os after structural relaxation, with properties calculated at the PBE-GGA level.

The structure belongs to space group Fm-3m (No. 225); the cell edges are 6.1491, 6.1491 and 6.1491 Å and the angles 90.00°, 90.00° and 90.00°. Symmetry generates all atoms from V at (0.0000, 0.0000, 0.0000), Re at (0.2500, 0.2500, 0.2500) and Os at (0.0000, 0.0000, 0.5000).

The value obtained for the volume is 14.53 Å³ per atom. The value obtained for the formation energy from the elements is 134 meV/atom.



Below is V4Re2Os after structural relaxation, with properties calculated at the PBE-GGA level.

The structure belongs to space group I4/mmm (No. 139); the cell edges are 5.9736, 5.9736 and 6.0181 Å and the angles 90.00°, 90.00° and 90.00°. Symmetry generates all atoms from V at (0.2500, 0.2500, 0.2500), Re at (0.0000, 0.5000, 0.0000) and Os at (0.0000, 0.0000, 0.0000).

The value obtained for the volume is 15.34 Å³ per atom. The value obtained for the formation energy from the elements is 9 meV/atom.



Below is VReOs2 after structural relaxation, with properties calculated at the PBE-GGA level.

The structure belongs to space group Fm-3m (No. 225); the cell edges are 6.1396, 6.1396 and 6.1396 Å and the angles 90.00°, 90.00° and 90.00°. Symmetry generates all atoms from V at (0.0000, 0.0000, 0.0000), Re at (0.0000, 0.0000, 0.5000) and Os at (0.2500, 0.2500, 0.2500).

The value obtained for the volume is 14.46 Å³ per atom. The value obtained for the formation energy from the elements is 234 meV/atom.



Below is V14ReOs after structural relaxation, with properties calculated at the PBE-GGA level.

The structure belongs to space group Cmmm (No. 65); the cell edges are 6.0144, 8.5051 and 8.4771 Å and the angles 90.00°, 90.00° and 90.00°. Symmetry generates all atoms from V at (0.0000, 0.0000, 0.0000), V at (0.0000, 0.2499, 0.2453), V at (0.0000, 0.5000, 0.0000), V at (0.2496, 0.0000, 0.2491), V at (0.2500, 0.2500, 0.0000), V at (0.2500, 0.2500, 0.5000), Re at (0.0000, 0.0000, 0.5000) and Os at (0.0000, 0.5000, 0.5000).

The value obtained for the volume is 13.55 Å³ per atom. The value obtained for the formation energy from the elements is -158 meV/atom.



Below is VReOs2 after structural relaxation, with properties calculated at the PBE-GGA level.

The structure belongs to space group P4/mmm (No. 123); the cell edges are 3.8591, 3.8591 and 3.8463 Å and the angles 90.00°, 90.00° and 90.00°. Symmetry generates all atoms from V at (0.0000, 0.0000, 0.0000), Re at (0.5000, 0.5000, 0.0000) and Os at (0.0000, 0.5000, 0.5000).

The value obtained for the volume is 14.32 Å³ per atom. The value obtained for the formation energy from the elements is -52 meV/atom.



Below is VReOs2 after structural relaxation, with properties calculated at the PBE-GGA level.

The structure belongs to space group I-42d (No. 122); the cell edges are 3.8418, 3.8418 and 17.2516 Å and the angles 90.00°, 90.00° and 90.00°. Symmetry generates all atoms from V at (0.0000, 0.0000, 0.0000), Re at (0.0000, 0.0000, 0.5000) and Os at (0.2273, 0.2500, 0.1250).

The value obtained for the volume is 15.91 Å³ per atom. The value obtained for the formation energy from the elements is 749 meV/atom.



Below is VRe2Os after structural relaxation, with properties calculated at the PBE-GGA level.

The structure belongs to space group R-3m (No. 166, hexagonal axes); the cell edges are 2.7350, 2.7350 and 28.2019 Å and the angles 90.00°, 90.00° and 120.00°. Symmetry generates all atoms from V at (0.0000, 0.0000, 0.0000), Re at (0.0000, 0.0000, 0.0881) and Os at (0.0000, 0.0000, 0.5000).

The value obtained for the volume is 15.22 Å³ per atom. The value obtained for the formation energy from the elements is 440 meV/atom.